First-principles (SCAN) data for a PBEsol-optimized structure of ScIr2, as listed in Alexandria.

## Properties
- E_tot: -53.082 eV per atom
- Magnetic moment: 0.00 μB per formula unit
- Space-group type: Fd-3m (227)

Cell and atoms, written as POSCAR:
```
ScIr2
1.0
-3.6054 -3.2197 1.8566
-2.5128 -3.1980 -3.2049
0.9204 -5.0926 0.1769
Ir Sc
4 2
Cartesian
-3.7089 -4.6477 -0.8206 Ir
-1.9922 -5.5949 0.8703 Ir
-1.4459 -5.5841 -1.6604 Ir
-3.2486 -7.1940 -0.7321 Ir
-1.2995 -2.8776 -0.2928 Sc
0.0000 0.0000 0.0000 Sc
```